(1)
## K3Mg18Sn11 (GGA-PBEsol)

Data for a relaxed structure of K3Mg18Sn11.

The structure in POSCAR format:
```
K3Mg18Sn11
1.0
11.7986 0.0000 0.0000
-5.8993 10.2179 0.0000
0.0000 0.0000 13.6789
K Mg Sn
6 36 22
direct
0.3333 0.6667 0.0823 K
0.3333 0.6667 0.4177 K
0.3333 0.6667 0.7500 K
0.6667 0.3333 0.2500 K
0.6667 0.3333 0.5823 K
0.6667 0.3333 0.9177 K
0.0557 0.4330 0.5838 Mg
0.0557 0.4330 0.9162 Mg
0.0582 0.4320 0.2500 Mg
0.1090 0.2533 0.7500 Mg
0.1221 0.2703 0.0826 Mg
0.1221 0.2703 0.4174 Mg
0.1443 0.8910 0.7500 Mg
0.1482 0.8779 0.0826 Mg
0.1482 0.8779 0.4174 Mg
0.2533 0.1443 0.2500 Mg
0.2703 0.1482 0.5826 Mg
0.2703 0.1482 0.9174 Mg
0.3738 0.9418 0.2500 Mg
0.3773 0.9443 0.5838 Mg
0.3773 0.9443 0.9162 Mg
0.4320 0.3738 0.7500 Mg
0.4330 0.3773 0.0838 Mg
0.4330 0.3773 0.4162 Mg
0.5670 0.6227 0.5838 Mg
0.5670 0.6227 0.9162 Mg
0.5680 0.6262 0.2500 Mg
0.6227 0.0557 0.0838 Mg
0.6227 0.0557 0.4162 Mg
0.6262 0.0582 0.7500 Mg
0.7297 0.8518 0.0826 Mg
0.7297 0.8518 0.4174 Mg
0.7467 0.8557 0.7500 Mg
0.8518 0.1221 0.5826 Mg
0.8518 0.1221 0.9174 Mg
0.8557 0.1090 0.2500 Mg
0.8779 0.7297 0.5826 Mg
0.8779 0.7297 0.9174 Mg
0.8910 0.7467 0.2500 Mg
0.9418 0.5680 0.7500 Mg
0.9443 0.5670 0.0838 Mg
0.9443 0.5670 0.4162 Mg
0.0000 0.0000 0.1365 Sn
0.0000 0.0000 0.3635 Sn
0.0000 0.0000 0.6365 Sn
0.0000 0.0000 0.8635 Sn
0.1148 0.7052 0.5844 Sn
0.1148 0.7052 0.9156 Sn
0.1159 0.7010 0.2500 Sn
0.2948 0.4096 0.5844 Sn
0.2948 0.4096 0.9156 Sn
0.2990 0.4149 0.2500 Sn
0.4096 0.1148 0.0844 Sn
0.4096 0.1148 0.4156 Sn
0.4149 0.1159 0.7500 Sn
0.5851 0.8841 0.2500 Sn
0.5904 0.8852 0.5844 Sn
0.5904 0.8852 0.9156 Sn
0.7010 0.5851 0.7500 Sn
0.7052 0.5904 0.0844 Sn
0.7052 0.5904 0.4156 Sn
0.8841 0.2990 0.7500 Sn
0.8852 0.2948 0.0844 Sn
0.8852 0.2948 0.4156 Sn
```

## Properties
Its spin magnetization is 0.000 μB per atom. The symmetry is No. 176. The calculation puts the total DFT energy (no corrections) at -177.9 eV/cell. Its volume is 1649 Å³/cell.

(2)
## K2ZnH8N4 (GGA-PBEsol)

Data for a relaxed structure of K2ZnH8N4.

The structure in POSCAR format:
```
K2ZnH8N4
1.0
6.6524 0.0000 0.0000
3.2310 6.6082 0.0000
0.8053 2.3432 7.4398
K Zn H N
4 2 16 8
direct
0.1997 0.0653 0.3145 K
0.2491 0.0038 0.8652 K
0.7509 0.9962 0.1348 K
0.8003 0.9347 0.6855 K
0.2832 0.5961 0.2356 Zn
0.7168 0.4039 0.7644 Zn
0.0005 0.3897 0.9602 H
0.0313 0.3504 0.5410 H
0.1841 0.6512 0.5328 H
0.2154 0.6088 0.9253 H
0.3820 0.7367 0.6475 H
0.3919 0.3505 0.7012 H
0.3933 0.3239 0.9138 H
0.4123 0.2351 0.4659 H
0.5877 0.7649 0.5341 H
0.6067 0.6761 0.0862 H
0.6081 0.6495 0.2988 H
0.6180 0.2633 0.3525 H
0.7846 0.3912 0.0747 H
0.8159 0.3488 0.4672 H
0.9687 0.6496 0.4590 H
0.9995 0.6103 0.0398 H
0.0754 0.7223 0.4215 N
0.1003 0.6893 0.0055 N
0.4613 0.2732 0.3352 N
0.4959 0.2690 0.8155 N
0.5041 0.7310 0.1845 N
0.5387 0.7268 0.6648 N
0.8997 0.3107 0.9945 N
0.9246 0.2777 0.5785 N
```

## Properties
Its spin magnetization is 0.000 μB per atom. The symmetry is No. 2. The calculation puts the total DFT energy (no corrections) at -140.7 eV/cell. Its volume is 327 Å³/cell.

(3)
## CrCd2Co (GGA-PBEsol)

Data for a relaxed structure of CrCd2Co.

The structure in POSCAR format:
```
CrCd2Co
1.0
2.7932 0.0000 0.0000
0.0000 2.7932 0.0000
0.0000 0.0000 7.6836
Cr Cd Co
1 2 1
direct
0.0000 0.0000 0.0000 Cr
0.0000 0.0000 0.5873 Cd
0.5000 0.5000 0.2675 Cd
0.5000 0.5000 0.8391 Co
```

## Properties
Its spin magnetization is 0.162 μB per atom. The symmetry is No. 99. The calculation puts the total DFT energy (no corrections) at -19.4 eV/cell. The calculation puts the energy above the most stable polymorph in this dataset at 0 meV/atom. Its volume is 60 Å³/cell.

(4)
## ErAlNi4 (GGA-PBEsol)

Data for a relaxed structure of ErAlNi4.

The structure in POSCAR format:
```
ErAlNi4
1.0
2.4520 -4.1354 0.0000
2.4520 4.1354 0.0000
0.0000 0.0000 3.9657
Er Al Ni
1 1 4
direct
0.0000 0.0000 0.0000 Er
0.5000 0.5000 0.5000 Al
0.0000 0.5000 0.5000 Ni
0.3306 0.6694 0.0000 Ni
0.5000 0.0000 0.5000 Ni
0.6694 0.3306 0.0000 Ni
```

## Properties
Its spin magnetization is 0.000 μB per atom. The symmetry is No. 65. The calculation puts the total DFT energy (no corrections) at -36.9 eV/cell. Its volume is 80 Å³/cell.

(5)
## BaZr2As2 (GGA-PBEsol)

Data for a relaxed structure of BaZr2As2.

The structure in POSCAR format:
```
BaZr2As2
1.0
-2.5516 2.5516 4.9244
2.5516 -2.5516 4.9244
2.5516 2.5516 -4.9244
Ba Zr As
1 2 2
direct
0.0000 0.0000 0.0000 Ba
0.3396 0.3396 0.0000 Zr
0.6604 0.6604 0.0000 Zr
0.2500 0.7500 0.5000 As
0.7500 0.2500 0.5000 As
```

## Properties
Its spin magnetization is 0.068 μB per atom. The symmetry is No. 139. The calculation puts the total DFT energy (no corrections) at -33.8 eV/cell. Its volume is 128 Å³/cell.

(6)
## LaRhCl4 (GGA-PBEsol)

Data for a relaxed structure of LaRhCl4.

The structure in POSCAR format:
```
LaRhCl4
1.0
0.0000 3.9799 3.9799
3.9799 0.0000 3.9799
3.9799 3.9799 0.0000
La Rh Cl
1 1 4
direct
0.0000 0.0000 0.0000 La
0.7500 0.7500 0.7500 Rh
0.3751 0.3751 0.3751 Cl
0.3751 0.3751 0.8747 Cl
0.3751 0.8747 0.3751 Cl
0.8747 0.3751 0.3751 Cl
```

## Properties
The calculation puts the raw formation energy at -0.0879 eV/atom. Its spin magnetization is 0.305 μB per atom. The symmetry is No. 216. The calculation puts the total DFT energy (no corrections) at -22.0 eV/cell. Its volume is 126 Å³/cell.